(1)
The following is a DFT calculation (PBE-GGA) of a relaxed structure of BaInH4.

Geometry as POSCAR:
```
BaInH4
1.0
4.180 -2.877 0.000
4.180 2.877 0.000
-2.069 0.000 3.647
Ba In H
1 1 4
Direct
0.000 0.000 0.000
0.500 0.500 0.500
0.079 0.572 0.323
0.428 0.921 0.677
0.572 0.079 0.323
0.921 0.428 0.677
```

Properties
Symmetry: C2/m, No. 12
Total DFT energy (no corrections) in eV for the cell shown: -18.11

(2)
The following is a DFT calculation (PBE-GGA) of a relaxed structure of CePm3Ho.

Geometry as POSCAR:
```
CePm3Ho
1.0
7.866 -4.538 0.000
7.866 4.538 0.000
0.000 0.000 9.464
Ce Pm Ho
4 12 4
Direct
0.024 0.393 0.250
0.393 0.024 0.750
0.607 0.976 0.250
0.976 0.607 0.750
0.045 0.733 0.079
0.045 0.733 0.421
0.267 0.955 0.079
0.267 0.955 0.421
0.329 0.329 0.000
0.329 0.329 0.500
0.671 0.671 0.000
0.671 0.671 0.500
0.733 0.045 0.579
0.733 0.045 0.921
0.955 0.267 0.579
0.955 0.267 0.921
0.146 0.854 0.750
0.475 0.525 0.250
0.525 0.475 0.750
0.854 0.146 0.250
```

Properties
Formation energy in eV/atom: 0.23
Symmetry: Cmcm, No. 63
Total DFT energy (no corrections) in eV for the cell shown: -94.49

(3)
The following is a DFT calculation (PBE-GGA) of a relaxed structure of CaHfMn2.

Geometry as POSCAR:
```
CaHfMn2
1.0
-2.239 2.239 8.806
2.239 -2.239 8.806
2.239 2.239 -8.806
Ca Hf Mn
2 2 4
Direct
0.000 0.000 0.000
0.750 0.250 0.500
0.250 0.750 0.500
0.500 0.500 0.000
0.328 0.125 0.703
0.375 0.672 0.797
0.422 0.625 0.297
0.875 0.578 0.203
```

Properties
Formation energy in eV/atom: 1.02
Symmetry: I-42d, No. 122
Total DFT energy (no corrections) in eV for the cell shown: -52.47
Excess energy over the best structure of this formula in the dataset in kJ per mole of atoms: 55.51

(4)
The following is a DFT calculation (PBE-GGA) of a relaxed structure of Sm3PbO7.

Geometry as POSCAR:
```
Sm3PbO7
1.0
3.839 -5.563 0.000
3.839 5.563 0.000
0.000 0.000 7.791
Sm Pb O
6 2 14
Direct
0.000 0.000 0.000
0.000 0.000 0.500
0.031 0.494 0.750
0.494 0.031 0.250
0.506 0.969 0.750
0.969 0.506 0.250
0.500 0.500 0.000
0.500 0.500 0.500
0.131 0.869 0.250
0.131 0.869 0.750
0.156 0.406 0.032
0.156 0.406 0.468
0.406 0.156 0.532
0.406 0.156 0.968
0.407 0.593 0.750
0.593 0.407 0.250
0.594 0.844 0.032
0.594 0.844 0.468
0.844 0.594 0.532
0.844 0.594 0.968
0.869 0.131 0.250
0.869 0.131 0.750
```

Properties
Symmetry: Cmcm, No. 63
Raw formation energy in kJ per mole of atoms: -246.11
Total DFT energy (no corrections) in eV for the cell shown: -161.26

(5)
The following is a DFT calculation (PBE-GGA) of a relaxed structure of La2SiPt.

Geometry as POSCAR:
```
La2SiPt
1.0
2.208 1.275 5.769
-2.208 1.275 5.769
0.000 -2.550 5.769
La Si Pt
2 1 1
Direct
0.000 0.000 0.000
0.208 0.208 0.208
0.783 0.783 0.783
0.431 0.431 0.431
```

Properties
Symmetry: R3m, No. 160
Raw formation energy in kJ per mole of atoms: -79.44
Total DFT energy (no corrections) in eV for the cell shown: -24.61

(6)
The following is a DFT calculation (PBE-GGA) of a relaxed structure of Tb2PrEr4Mg.

Geometry as POSCAR:
```
Tb2PrEr4Mg
1.0
5.755 0.000 0.000
0.000 5.755 0.000
0.000 0.000 7.471
Tb Pr Er Mg
2 1 4 1
Direct
0.000 0.000 0.000
0.500 0.500 0.000
0.000 0.000 0.500
0.000 0.500 0.256
0.000 0.500 0.744
0.500 0.000 0.256
0.500 0.000 0.744
0.500 0.500 0.500
```

Properties
Formation energy in eV/atom: 0.11
Symmetry: P4/mmm, No. 123
Total DFT energy (no corrections) in eV for the cell shown: -32.97

(7)
The following is a DFT calculation (PBE-GGA) of a relaxed structure of CePm3Pr4S8.

Geometry as POSCAR:
```
CePm3Pr4S8
1.0
4.066 2.347 6.650
-4.066 2.347 6.650
0.000 -4.695 6.650
Ce Pm Pr S
1 3 4 8
Direct
0.000 0.000 0.000
0.000 0.500 0.500
0.500 0.000 0.500
0.500 0.500 0.000
0.000 0.000 0.500
0.000 0.500 0.000
0.500 0.000 0.000
0.500 0.500 0.500
0.247 0.247 0.749
0.247 0.749 0.247
0.251 0.753 0.753
0.252 0.252 0.252
0.748 0.748 0.748
0.749 0.247 0.247
0.753 0.251 0.753
0.753 0.753 0.251
```

Properties
Symmetry: R-3m, No. 166
Raw formation energy in kJ per mole of atoms: -196.00
Total DFT energy (no corrections) in eV for the cell shown: -104.83

(8)
The following is a DFT calculation (PBE-GGA) of a relaxed structure of PrThU.

Geometry as POSCAR:
```
PrThU
1.0
8.641 -1.819 0.000
8.641 1.819 0.000
-0.949 0.000 5.841
Pr Th U
2 2 2
Direct
0.064 0.064 0.282
0.936 0.936 0.718
0.369 0.369 0.191
0.631 0.631 0.809
0.265 0.265 0.645
0.735 0.735 0.355
```

Properties
Formation energy in eV/atom: 0.24
Symmetry: C2/m, No. 12
Total DFT energy (no corrections) in eV for the cell shown: -45.51

| no. | N(E_F) (states/eV per atom) |
| --- | --- |
| 1 | 0.19 |
| 2 | 2.40 |
| 3 | 0.80 |
| 4 | 0.38 |
| 5 | 0.42 |
| 6 | 1.96 |
| 7 | 0.68 |
| 8 | 2.07 |